## Th2Ga3AgAu4 (PBE-GGA)

Data for a relaxed Th2Ga3AgAu4 crystal.

Values from the calculation:
The calculation puts the density of states at the Fermi level at 7.698 states/eV/cell. The formation energy is -0.480 eV/atom. The value obtained for the electronic total energy is -44.68 eV/cell.

Unit cell a=4.4450 b=4.4450 c=10.6762 alpha=90.00 beta=90.00 gamma=90.00
Closest atoms and distances in Å follow each position.
Space group P-4m2 (No. 115)
Asymmetric unit:
Th  0.0000  0.5000  0.2443 (multiplicity 2)  8 Au 3.37-3.43, 6 Ga 3.38-3.52, 2 Ag 3.52
Ga  0.0000  0.5000  0.8716 (multiplicity 2)  5 Au 2.46-2.61
Ga  0.5000  0.5000  0.5000 (multiplicity 1)  4 Au 2.69
Ag  0.0000  0.0000  0.5000 (multiplicity 1)  4 Au 2.69
Au  0.0000  0.0000  0.0000 (multiplicity 1)  4 Ga 2.61
Au  0.0000  0.5000  0.6414 (multiplicity 2)  3 Ga 2.46-2.69, 2 Ag 2.69
Au  0.5000  0.5000  0.0000 (multiplicity 1)  4 Ga 2.61

***

## OsPbW (PBE-GGA)

Data for a relaxed OsPbW crystal.

Values from the calculation:
The calculation puts the density of states at the Fermi level at 1.743 states/eV/cell. The formation energy is 0.724 eV/atom. The value obtained for the electronic total energy is -25.72 eV/cell.

Unit cell a=2.9924 b=2.9924 c=7.2279 alpha=90.00 beta=90.00 gamma=120.00
Closest atoms and distances in Å follow each position.
Space group P3m1 (No. 156)
Asymmetric unit:
Os  0.0000  0.0000  0.0000 (multiplicity 1)  3 W 2.62
Pb  0.6667  0.3333  0.3605 (multiplicity 1)  6 Pb 2.99, 3 Os 3.13, 3 W 3.17
W  0.3333  0.6667  0.7276 (multiplicity 1)  3 Os 2.62

***

## TbHo8Sc2 (PBE-GGA)

Data for a relaxed TbHo8Sc2 crystal.

Values from the calculation:
The calculation puts the density of states at the Fermi level at 34.775 states/eV/cell. The formation energy is 0.124 eV/atom. The calculation puts the energy relative to the lowest polymorph listed for this composition at 0 meV/atom. The value obtained for the electronic total energy is -105.10 eV/cell.

Unit cell a=5.3375 b=8.1229 c=15.4542 alpha=90.00 beta=90.00 gamma=90.00
Closest atoms and distances in Å follow each position.
Space group Immm (No. 71)
Asymmetric unit:
Tb  0.0000  0.0000  0.0000 (multiplicity 2)  8 Ho 3.25-3.61
Ho  0.0000  0.2009  0.5000 (multiplicity 4)  7 Ho 3.26-3.50, 2 Sc 3.51, 2 Tb 3.61
Ho  0.0000  0.2948  0.1425 (multiplicity 8)  1 Tb 3.25, 3 Sc 3.27-3.41, 6 Ho 3.33-3.60
Ho  0.0000  0.5000  0.3370 (multiplicity 4)  2 Sc 3.40, 8 Ho 3.44-3.60, 2 Tb 3.67
Sc  0.0000  0.0000  0.2992 (multiplicity 4)  10 Ho 3.27-3.51

***

## Tm4InPd (PBE-GGA)

Data for a relaxed Tm4InPd crystal.

Values from the calculation:
The calculation puts the density of states at the Fermi level at 84.836 states/eV/cell. The formation energy is -0.531 eV/atom. The calculation puts the energy relative to the lowest polymorph listed for this composition at 0 meV/atom. The value obtained for the electronic total energy is -464.07 eV/cell.

Unit cell a=13.5641 b=13.5641 c=13.5641 alpha=90.00 beta=90.00 gamma=90.00
Closest atoms and distances in Å follow each position.
Space group F-43m (No. 216)
Asymmetric unit:
Tm  0.0000  0.0000  0.1859 (multiplicity 24)  2 In 3.20, 2 Pd 3.48, 6 Tm 3.48-3.57
Tm  0.0615  0.2500  0.7500 (multiplicity 24)  2 Pd 2.84
Tm  0.1031  0.1031  0.3969 (multiplicity 16)  3 Pd 2.83
In  0.1662  0.1662  0.1662 (multiplicity 16)  9 Tm 3.20-3.48, 3 In 3.22
Pd  0.1055  0.1055  0.6055 (multiplicity 16)  6 Tm 2.83-2.84

***

## PtPbN2O (PBE-GGA)

Data for a relaxed PtPbN2O crystal.

Values from the calculation:
The calculation puts the density of states at the Fermi level at 3.559 states/eV/cell. The value obtained for the electronic total energy is -21.45 eV/cell.

Unit cell a=4.3909 b=4.3909 c=4.2811 alpha=90.00 beta=90.00 gamma=90.00
Closest atoms and distances in Å follow each position.
Space group P4/mmm (No. 123)
Asymmetric unit:
Pt  0.0000  0.0000  0.0000 (multiplicity 1)  8 N 3.07, 4 O 3.10
Pb  0.5000  0.5000  0.5000 (multiplicity 1)  2 O 2.14, 4 N 2.20
N  0.0000  0.5000  0.5000 (multiplicity 2)  2 Pb 2.20
O  0.5000  0.5000  0.0000 (multiplicity 1)  2 Pb 2.14